# 1
Here is a geometry-optimized Ca3PtS structure from Alexandria. Energies are from PBE. Values from VASP.

Output
Formation energy (no corrections) ... -3.9 eV/f.u.
V ... 142.5 Å³ per cell
Spin magnetization ... 0.0 μB/f.u.

The structure in Quantum ESPRESSO input format:
```
&SYSTEM
  ibrav = 0, nat = 5, ntyp = 3
/
ATOMIC_SPECIES
Ca 40.08 Ca.upf
Pt 195.08 Pt.upf
S 32.06 S.upf
CELL_PARAMETERS angstrom
5.2230 0.0000 0.0000
0.0000 5.2230 0.0000
0.0000 0.0000 5.2230
ATOMIC_POSITIONS crystal
Ca 0.0000 0.0000 0.5000
Ca 0.0000 0.5000 0.0000
Ca 0.5000 0.0000 0.0000
Pt 0.5000 0.5000 0.5000
S 0.0000 0.0000 0.0000
```


# 2
Here is a geometry-optimized CaSb2Pt2 structure from Alexandria. Energies are from PBE. Values from VASP.

Output
Formation energy (no corrections) ... -2.0 eV/f.u.
V ... 216.8 Å³ per cell
Spin magnetization ... 0.0 μB/f.u.

The structure in Quantum ESPRESSO input format:
```
&SYSTEM
  ibrav = 0, nat = 10, ntyp = 3
/
ATOMIC_SPECIES
Ca 40.08 Ca.upf
Sb 121.76 Sb.upf
Pt 195.08 Pt.upf
CELL_PARAMETERS angstrom
8.0041 0.0000 0.0000
0.0000 8.0041 0.0000
0.0000 0.0000 3.3837
ATOMIC_POSITIONS crystal
Ca 0.0000 0.0000 0.0000
Ca 0.5000 0.5000 0.0000
Sb 0.1466 0.3534 0.0000
Sb 0.3534 0.8534 0.0000
Sb 0.6466 0.1466 0.0000
Sb 0.8534 0.6466 0.0000
Pt 0.1515 0.6515 0.5000
Pt 0.3485 0.1515 0.5000
Pt 0.6515 0.8485 0.5000
Pt 0.8485 0.3485 0.5000
```


# 3
Here is a geometry-optimized CaSb2Pt2 structure from Alexandria. Energies are from PBE. Values from VASP.

Output
Formation energy (no corrections) ... -3.1 eV/f.u.
V ... 118.3 Å³ per cell
Spin magnetization ... 0.0 μB/f.u.

The structure in Quantum ESPRESSO input format:
```
&SYSTEM
  ibrav = 0, nat = 5, ntyp = 3
/
ATOMIC_SPECIES
Ca 40.08 Ca.upf
Sb 121.76 Sb.upf
Pt 195.08 Pt.upf
CELL_PARAMETERS angstrom
-2.4520 2.4520 4.9210
2.4520 -2.4520 4.9210
2.4520 2.4520 -4.9210
ATOMIC_POSITIONS crystal
Ca 0.0000 0.0000 0.0000
Sb 0.2500 0.7500 0.5000
Sb 0.7500 0.2500 0.5000
Pt 0.3636 0.3636 0.0000
Pt 0.6364 0.6364 0.0000
```


# 4
Here is a geometry-optimized Ca3Sb3Pt2 structure from Alexandria. Energies are from PBE. Values from VASP.

Output
Formation energy (no corrections) ... -7.6 eV/f.u.
V ... 395.5 Å³ per cell
Spin magnetization ... 0.0 μB/f.u.

The structure in Quantum ESPRESSO input format:
```
&SYSTEM
  ibrav = 0, nat = 16, ntyp = 3
/
ATOMIC_SPECIES
Ca 40.08 Ca.upf
Sb 121.76 Sb.upf
Pt 195.08 Pt.upf
CELL_PARAMETERS angstrom
2.3190 -5.5325 0.0000
2.3190 5.5325 0.0000
0.0000 0.0000 15.4118
ATOMIC_POSITIONS crystal
Ca 0.0858 0.9142 0.6114
Ca 0.0858 0.9142 0.8886
Ca 0.3641 0.6359 0.7500
Ca 0.6359 0.3641 0.2500
Ca 0.9142 0.0858 0.1114
Ca 0.9142 0.0858 0.3886
Sb 0.3387 0.6613 0.2500
Sb 0.3721 0.6279 0.5335
Sb 0.3721 0.6279 0.9665
Sb 0.6279 0.3721 0.0335
Sb 0.6279 0.3721 0.4665
Sb 0.6613 0.3387 0.7500
Pt 0.1979 0.8021 0.1037
Pt 0.1979 0.8021 0.3963
Pt 0.8021 0.1979 0.6037
Pt 0.8021 0.1979 0.8963
```


# 5
Here is a geometry-optimized Ca2SbPt2 structure from Alexandria. Energies are from PBE. Values from VASP.

Output
Formation energy (no corrections) ... -4.9 eV/f.u.
V ... 227.5 Å³ per cell
Spin magnetization ... 0.0 μB/f.u.

The structure in Quantum ESPRESSO input format:
```
&SYSTEM
  ibrav = 0, nat = 10, ntyp = 3
/
ATOMIC_SPECIES
Ca 40.08 Ca.upf
Sb 121.76 Sb.upf
Pt 195.08 Pt.upf
CELL_PARAMETERS angstrom
4.9794 -2.8306 0.0000
4.9794 2.8306 0.0000
-1.9848 0.0000 8.0714
ATOMIC_POSITIONS crystal
Ca 0.0062 0.2956 0.1527
Ca 0.2956 0.0062 0.6527
Ca 0.7044 0.9938 0.3473
Ca 0.9938 0.7044 0.8473
Sb 0.3322 0.6678 0.2500
Sb 0.6678 0.3322 0.7500
Pt 0.2388 0.4940 0.5094
Pt 0.4940 0.2388 0.0094
Pt 0.5060 0.7612 0.9906
Pt 0.7612 0.5060 0.4906
```


# 6
Here is a geometry-optimized Ca2SbPt2 structure from Alexandria. Energies are from PBE. Values from VASP.

Output
Formation energy (no corrections) ... -3.7 eV/f.u.
V ... 127.0 Å³ per cell
Spin magnetization ... 0.0 μB/f.u.

The structure in Quantum ESPRESSO input format:
```
&SYSTEM
  ibrav = 0, nat = 5, ntyp = 3
/
ATOMIC_SPECIES
Ca 40.08 Ca.upf
Sb 121.76 Sb.upf
Pt 195.08 Pt.upf
CELL_PARAMETERS angstrom
-2.8522 2.8522 3.9042
2.8522 -2.8522 3.9042
2.8522 2.8522 -3.9042
ATOMIC_POSITIONS crystal
Ca 0.2500 0.7500 0.5000
Ca 0.7500 0.2500 0.5000
Sb 0.0000 0.0000 0.0000
Pt 0.3379 0.3379 0.0000
Pt 0.6621 0.6621 0.0000
```


# 7
Here is a geometry-optimized CaSb2Pt2 structure from Alexandria. Energies are from PBE. Values from VASP.

Output
Formation energy (no corrections) ... -2.6 eV/f.u.
V ... 218.0 Å³ per cell
Spin magnetization ... 0.0 μB/f.u.

The structure in Quantum ESPRESSO input format:
```
&SYSTEM
  ibrav = 0, nat = 10, ntyp = 3
/
ATOMIC_SPECIES
Ca 40.08 Ca.upf
Sb 121.76 Sb.upf
Pt 195.08 Pt.upf
CELL_PARAMETERS angstrom
7.6061 0.0000 0.0000
0.0000 7.6061 0.0000
0.0000 0.0000 3.7685
ATOMIC_POSITIONS crystal
Ca 0.0000 0.0000 0.0000
Ca 0.5000 0.5000 0.0000
Sb 0.1716 0.3284 0.5000
Sb 0.3284 0.8284 0.5000
Sb 0.6716 0.1716 0.5000
Sb 0.8284 0.6716 0.5000
Pt 0.1295 0.6295 0.0000
Pt 0.3705 0.1295 0.0000
Pt 0.6295 0.8705 0.0000
Pt 0.8705 0.3705 0.0000
```


# 8
Here is a geometry-optimized CaSb3Pt structure from Alexandria. Energies are from PBE. Values from VASP.

Output
Formation energy (no corrections) ... -0.3 eV/f.u.
V ... 153.0 Å³ per cell
Spin magnetization ... 0.0 μB/f.u.

The structure in Quantum ESPRESSO input format:
```
&SYSTEM
  ibrav = 0, nat = 5, ntyp = 3
/
ATOMIC_SPECIES
Ca 40.08 Ca.upf
Sb 121.76 Sb.upf
Pt 195.08 Pt.upf
CELL_PARAMETERS angstrom
5.3481 0.0000 0.0000
0.0000 5.3481 0.0000
0.0000 0.0000 5.3481
ATOMIC_POSITIONS crystal
Ca 0.0000 0.0000 0.0000
Sb 0.0000 0.5000 0.5000
Sb 0.5000 0.0000 0.5000
Sb 0.5000 0.5000 0.0000
Pt 0.5000 0.5000 0.5000
```


V of number 2 (CaSb2Pt2)?
216.8 Å³ per cell


The highest formation energy (no corrections) belongs to which entry?
CaSb3Pt